Compound: La6BiC2
Source: the Alexandria database
Functional: GGA-PBE
Structure: relaxed

Its formation energy is -156.5 meV per atom.

Cell: 15.9190 9.8974 7.0595 Å, 90.00 97.38 90.00°
Space group C2/c (No. 15)
Inequivalent atoms, fractional coordinates:
La 0.1137 0.1278 0.1883
La 0.1372 0.4713 0.9190
La 0.1997 0.1699 0.6851
Bi 0.0000 0.1881 0.7500
C 0.2393 0.4175 0.6684